[1]
Density functional theory data (GGA-PBE) for an optimized crystal structure of MgTaMnIr. Values from VASP.

Calculated values
Calculated total energy = -8.122 eV/atom
N(E_F) = 4.79 states/eV/cell

Quantum ESPRESSO input file:
```
&SYSTEM
  ibrav = 0, nat = 4, ntyp = 4
/
ATOMIC_SPECIES
Mg 24.30 Mg.upf
Ta 180.95 Ta.upf
Mn 54.94 Mn.upf
Ir 192.22 Ir.upf
ATOMIC_POSITIONS angstrom
Mg 0.000 0.000 0.000
Ta 4.395 2.537 1.794
Mn 2.197 1.269 0.897
Ir 6.592 3.806 2.691
CELL_PARAMETERS angstrom
4.395 0.000 0.000
2.197 3.806 0.000
2.197 1.269 3.588
```

---

[2]
Density functional theory data (GGA-PBE) for an optimized crystal structure of MgUMnIr. Values from VASP.

Calculated values
Calculated total energy = -7.832 eV/atom
N(E_F) = 8.19 states/eV/cell

Quantum ESPRESSO input file:
```
&SYSTEM
  ibrav = 0, nat = 4, ntyp = 4
/
ATOMIC_SPECIES
Mn 54.94 Mn.upf
Ir 192.22 Ir.upf
U 238.03 U.upf
Mg 24.30 Mg.upf
ATOMIC_POSITIONS angstrom
Mn 4.641 2.680 1.895
Ir 0.000 0.000 0.000
U 6.962 4.019 2.842
Mg 2.321 1.340 0.947
CELL_PARAMETERS angstrom
4.641 0.000 0.000
2.321 4.019 0.000
2.321 1.340 3.789
```

---

[3]
Density functional theory data (GGA-PBE) for an optimized crystal structure of MgMo2Ir2. Values from VASP.

Calculated values
Calculated total energy = -8.313 eV/atom
N(E_F) = 7.59 states/eV/cell

Quantum ESPRESSO input file:
```
&SYSTEM
  ibrav = 0, nat = 10, ntyp = 3
/
ATOMIC_SPECIES
Mo 95.94 Mo.upf
Ir 192.22 Ir.upf
Mg 24.30 Mg.upf
ATOMIC_POSITIONS angstrom
Mo -4.432 -2.591 -4.822
Ir -3.350 -0.526 -3.558
Ir 0.852 -4.222 -5.907
Ir 0.568 -1.811 -2.368
Mo -1.638 -5.063 -6.407
Mo -1.991 -1.851 -1.672
Mg 0.000 0.000 0.000
Ir -3.066 -2.937 -7.096
Mo 0.803 -4.323 -3.257
Mg -1.249 -2.374 -4.732
CELL_PARAMETERS angstrom
-6.069 0.147 -4.725
3.571 -4.895 -4.739
-1.131 -2.166 1.385
```

---

[4]
Density functional theory data (GGA-PBE) for an optimized crystal structure of MgMo2Ir. Values from VASP.

Calculated values
Calculated total energy = -7.990 eV/atom
N(E_F) = 2.78 states/eV/cell

Quantum ESPRESSO input file:
```
&SYSTEM
  ibrav = 0, nat = 4, ntyp = 3
/
ATOMIC_SPECIES
Mo 95.94 Mo.upf
Ir 192.22 Ir.upf
Mg 24.30 Mg.upf
ATOMIC_POSITIONS angstrom
Mo 0.000 0.000 0.000
Ir 4.449 2.569 1.816
Mg 2.225 1.284 0.908
Mo 6.674 3.853 2.725
CELL_PARAMETERS angstrom
4.449 0.000 0.000
2.225 3.853 0.000
2.225 1.284 3.633
```

---

[5]
Density functional theory data (GGA-PBE) for an optimized crystal structure of MgMo2Ir. Values from VASP.

Calculated values
Calculated total energy = -8.036 eV/atom
N(E_F) = 2.78 states/eV/cell

Quantum ESPRESSO input file:
```
&SYSTEM
  ibrav = 0, nat = 4, ntyp = 3
/
ATOMIC_SPECIES
Mg 24.30 Mg.upf
Mo 95.94 Mo.upf
Ir 192.22 Ir.upf
ATOMIC_POSITIONS angstrom
Mg 1.389 1.412 5.970
Mo 0.000 0.000 0.051
Mo 1.389 1.412 2.249
Ir 0.000 0.000 4.016
CELL_PARAMETERS angstrom
2.802 0.022 0.000
-0.025 2.802 0.000
0.000 0.000 8.190
```

---

[6]
Density functional theory data (GGA-PBE) for an optimized crystal structure of MgMo2Ir. Values from VASP.

Calculated values
Calculated total energy = -7.697 eV/atom
N(E_F) = 5.14 states/eV/cell

Quantum ESPRESSO input file:
```
&SYSTEM
  ibrav = 0, nat = 4, ntyp = 3
/
ATOMIC_SPECIES
Mo 95.94 Mo.upf
Ir 192.22 Ir.upf
Mg 24.30 Mg.upf
ATOMIC_POSITIONS angstrom
Mo 2.386 2.386 0.000
Ir 2.386 0.000 1.392
Mo 0.000 0.000 0.000
Mg 0.000 2.386 1.392
CELL_PARAMETERS angstrom
4.773 0.000 0.000
0.000 4.773 0.000
0.000 0.000 2.785
```

---

[7]
Density functional theory data (GGA-PBE) for an optimized crystal structure of MgMo2Ir. Values from VASP.

Calculated values
Calculated total energy = -7.958 eV/atom
N(E_F) = 4.60 states/eV/cell

Quantum ESPRESSO input file:
```
&SYSTEM
  ibrav = 0, nat = 4, ntyp = 3
/
ATOMIC_SPECIES
Mo 95.94 Mo.upf
Ir 192.22 Ir.upf
Mg 24.30 Mg.upf
ATOMIC_POSITIONS angstrom
Mo 1.339 0.377 2.314
Ir 2.814 1.436 0.186
Mo 0.123 0.063 0.008
Mg 4.168 1.821 2.501
CELL_PARAMETERS angstrom
-1.021 1.676 2.498
1.035 -2.282 1.953
5.620 2.869 0.372
```

---

[8]
Density functional theory data (GGA-PBE) for an optimized crystal structure of MgMo2Ir. Values from VASP.

Calculated values
Calculated total energy = -7.941 eV/atom
N(E_F) = 3.45 states/eV/cell

Quantum ESPRESSO input file:
```
&SYSTEM
  ibrav = 0, nat = 4, ntyp = 3
/
ATOMIC_SPECIES
Mo 95.94 Mo.upf
Ir 192.22 Ir.upf
Mg 24.30 Mg.upf
ATOMIC_POSITIONS angstrom
Mo -8.114 3.065 0.418
Ir -4.214 1.591 0.217
Mg -2.636 -0.574 -0.362
Mo -2.287 0.101 2.335
CELL_PARAMETERS angstrom
-3.751 2.224 2.909
-4.528 0.903 -2.482
3.448 -3.635 1.542
```

---

[9]
Density functional theory data (GGA-PBE) for an optimized crystal structure of MgMo2Ir. Values from VASP.

Calculated values
Calculated total energy = -7.940 eV/atom
N(E_F) = 4.04 states/eV/cell

Quantum ESPRESSO input file:
```
&SYSTEM
  ibrav = 0, nat = 4, ntyp = 3
/
ATOMIC_SPECIES
Mg 24.30 Mg.upf
Mo 95.94 Mo.upf
Ir 192.22 Ir.upf
ATOMIC_POSITIONS angstrom
Mg -1.208 2.245 1.372
Mo 1.341 2.242 0.000
Ir 2.550 -0.003 1.372
Mo 0.000 0.000 0.000
CELL_PARAMETERS angstrom
5.099 -0.006 0.000
-2.417 4.490 0.000
0.000 0.000 2.743
```

---

[10]
Density functional theory data (GGA-PBE) for an optimized crystal structure of Mg3MoIr. Values from VASP.

Calculated values
Calculated total energy = -3.929 eV/atom
N(E_F) = 13.44 states/eV/cell

Quantum ESPRESSO input file:
```
&SYSTEM
  ibrav = 0, nat = 5, ntyp = 3
/
ATOMIC_SPECIES
Ir 192.22 Ir.upf
Mg 24.30 Mg.upf
Mo 95.94 Mo.upf
ATOMIC_POSITIONS angstrom
Ir 0.000 0.000 0.000
Mg -0.884 2.206 0.353
Mg -0.870 -0.690 2.130
Mg -2.057 -0.656 -1.053
Mo -3.811 0.860 1.430
CELL_PARAMETERS angstrom
-4.114 -1.312 -2.105
-1.740 -1.379 4.260
-1.768 4.411 0.706
```

---

[11]
Density functional theory data (GGA-PBE) for an optimized crystal structure of MgMoIr. Values from VASP.

Calculated values
Calculated total energy = -7.209 eV/atom
N(E_F) = 2.25 states/eV/cell

Quantum ESPRESSO input file:
```
&SYSTEM
  ibrav = 0, nat = 3, ntyp = 3
/
ATOMIC_SPECIES
Mg 24.30 Mg.upf
Ir 192.22 Ir.upf
Mo 95.94 Mo.upf
ATOMIC_POSITIONS angstrom
Mg 3.643 1.319 0.000
Ir 0.053 0.019 0.000
Mo 6.974 2.526 0.000
CELL_PARAMETERS angstrom
6.034 0.000 0.000
4.635 3.864 0.000
-5.335 -1.932 2.055
```

---

[12]
Density functional theory data (GGA-PBE) for an optimized crystal structure of MgMo2Ir. Values from VASP.

Calculated values
Calculated total energy = -7.930 eV/atom
N(E_F) = 2.86 states/eV/cell

Quantum ESPRESSO input file:
```
&SYSTEM
  ibrav = 0, nat = 4, ntyp = 3
/
ATOMIC_SPECIES
Ir 192.22 Ir.upf
Mo 95.94 Mo.upf
Mg 24.30 Mg.upf
ATOMIC_POSITIONS angstrom
Ir 0.649 -4.456 -2.862
Mo 2.382 -4.412 -7.520
Mo 1.003 -6.856 -4.416
Mg 0.296 -2.277 -1.367
CELL_PARAMETERS angstrom
-0.100 -2.087 -4.241
2.483 -2.326 -3.282
-1.084 -4.646 1.762
```

---

Repeat the twelfth record exactly.
Density functional theory data (GGA-PBE) for an optimized crystal structure of MgMo2Ir. Values from VASP.

Calculated values
Calculated total energy = -7.930 eV/atom
N(E_F) = 2.86 states/eV/cell

Quantum ESPRESSO input file:
```
&SYSTEM
  ibrav = 0, nat = 4, ntyp = 3
/
ATOMIC_SPECIES
Ir 192.22 Ir.upf
Mo 95.94 Mo.upf
Mg 24.30 Mg.upf
ATOMIC_POSITIONS angstrom
Ir 0.649 -4.456 -2.862
Mo 2.382 -4.412 -7.520
Mo 1.003 -6.856 -4.416
Mg 0.296 -2.277 -1.367
CELL_PARAMETERS angstrom
-0.100 -2.087 -4.241
2.483 -2.326 -3.282
-1.084 -4.646 1.762
```

---

What is the N(E_F) in the sixth record? 5.14 states/eV/cell